Record 1
DFT (PBEsol) results for a relaxed KMgTl3 crystal.

abc: 5.567 5.567 5.567
angles: 90.00 90.00 90.00
Space group Pm-3m (No. 221)
One atom of each set of equivalent atoms:
K 0.000 0.000 0.000 [1 per cell]
Mg 0.500 0.500 0.500 [1 per cell]
Tl 0.000 0.500 0.500 [3 per cell]

Properties
The theoretical density comes out at 6.51 g cm⁻³. The uncorrected energy is -0.075 hartree per atom. The crystal system is cubic.

Record 2
DFT (PBEsol) results for a relaxed KMgTl2 crystal.

abc: 3.525 3.842 8.490
angles: 90.00 90.00 90.00
Space group Pmmm (No. 47)
One atom of each set of equivalent atoms:
K 0.000 0.000 0.000 [1 per cell]
Mg 0.000 0.000 0.500 [1 per cell]
Tl 0.500 0.500 0.297 [2 per cell]

Properties
The theoretical density comes out at 6.82 g cm⁻³. The uncorrected energy is -0.079 hartree per atom. The crystal system is orthorhombic.

Record 3
DFT (PBEsol) results for a relaxed KMgTl2 crystal.

abc: 3.379 5.077 7.203
angles: 90.00 102.55 90.00
Space group Pm (No. 6)
One atom of each set of equivalent atoms:
K 0.000 0.000 0.000 [1 per cell]
Mg 0.733 0.500 0.364 [1 per cell]
Tl 0.344 0.000 0.488 [1 per cell]
Tl 0.377 0.500 0.758 [1 per cell]

Properties
The theoretical density comes out at 6.50 g cm⁻³. The uncorrected energy is -0.075 hartree per atom. The crystal system is monoclinic.

Record 4
DFT (PBEsol) results for a relaxed KMg2W crystal.

abc: 2.9930 2.9930 33.7456
angles: 90.00 90.00 120.00
Space group R-3m (No. 166, hexagonal axes)
One atom of each set of equivalent atoms:
K 0.0000 0.0000 0.0000 [3 per cell]
Mg 0.0000 0.0000 0.2364 [6 per cell]
W 0.0000 0.0000 0.5000 [3 per cell]

Properties
The theoretical density comes out at 5.17 g cm⁻³. The uncorrected energy is -0.144 hartree per atom. The crystal system is trigonal.